First-principles (PBE) data for a relaxed structure of BeNbCrRu2, as listed in Alexandria via LeMat-Bulk.

The structure in CIF format:
```
data_BeNbCrRu2
_cell_length_a 4.3974
_cell_length_b 4.5093
_cell_length_c 4.3974
_cell_angle_alpha 90.00
_cell_angle_beta 90.00
_cell_angle_gamma 90.00
_space_group_name_H-M_alt 'P 1'
_space_group_IT_number 1
_space_group_name_Hall 'P 1'
loop_
_atom_site_label
_atom_site_fract_x
_atom_site_fract_y
_atom_site_fract_z
Ru1 0.0000 0.0000 0.5000
Ru2 0.5000 0.0000 0.0000
Nb1 0.0000 0.5000 0.0000
Be1 0.5000 0.5000 0.5000
Cr1 0.0000 0.0000 0.0000
```

Output
Energy relative to the elements (kJ/mol of atoms): 120.6
Space-group type: P4/mmm, No. 123
Fermi-level density of states (states/eV/f.u.): 5.52
VASP energy (eV for the cell shown): -35.72